Pm2ZnBr | PBE | optimized geometry

a = 3.8331 Å, b = 3.8331 Å, c = 8.8627 Å
α = 77.51°, β = 77.51°, γ = 60.00°
Atoms (fractional coordinates):
Br 0.4994 0.4994 0.5019
Pm 0.0790 0.0790 0.7629
Pm 0.2545 0.2545 0.2364
Zn 0.6671 0.6671 0.9988

Output
As for the formation energy (no corrections): -696 meV per atom. The crystal system is trigonal.